## Dy2SiO5 (GGA-PBE)

Data for a relaxed Dy2SiO5 crystal.

Cell lengths 8.0255, 8.0255, 10.4908 Å; angles 61.32, 61.32, 50.28 degrees
Fractional coordinates of all 32 atoms:
Dy1 0.7825 0.2915 0.5327
Dy2 0.2175 0.7085 0.4673
O1 0.8722 0.7259 0.9323
Dy3 0.2915 0.7825 0.0327
O2 0.9001 0.9180 0.6367
O3 0.2741 0.1278 0.5677
Si1 0.9081 0.7280 0.3055
O4 0.0999 0.0820 0.3633
O5 0.9180 0.9001 0.1367
Dy4 0.7085 0.2175 0.9673
Dy5 0.5253 0.7609 0.6621
O6 0.1492 0.4458 0.6758
Si2 0.0919 0.2720 0.6945
O7 0.5542 0.8508 0.8242
Dy6 0.2391 0.4747 0.8379
O8 0.6097 0.4230 0.1043
Dy7 0.4747 0.2391 0.3379
O9 0.0820 0.0999 0.8633
O10 0.7259 0.8722 0.4323
O11 0.1635 0.5957 0.3238
O12 0.4043 0.8365 0.1762
O13 0.3903 0.5770 0.8957
Si3 0.2720 0.0919 0.1945
O14 0.4458 0.1492 0.1758
O15 0.1278 0.2741 0.0677
O16 0.5957 0.1635 0.8238
O17 0.4230 0.6097 0.6043
Dy8 0.7609 0.5253 0.1621
O18 0.5770 0.3903 0.3957
Si4 0.7280 0.9081 0.8055
O19 0.8365 0.4043 0.6762
O20 0.8508 0.5542 0.3242

energy = -265.910 eV for the cell shown
symmetry = C2/c, No. 15
formation energy from raw total energies = -3.382 eV/atom